Material: Sr4Fe3MoO12
Method: DFT, GGA+U
State: optimized geometry

Cell: 5.5952 5.5952 7.9939 Å, 90.00 90.00 90.00°
Closest atoms and distances in Å follow each position.
Atoms (fractional coordinates):
Sr 0.5000 0.0000 0.7337  12 O 2.72-2.91
Sr 0.0000 0.5000 0.2663  12 O 2.72-2.91
Sr 0.5000 0.0000 0.2663  12 O 2.72-2.91
Sr 0.0000 0.5000 0.7337  12 O 2.72-2.91
Fe 0.5000 0.5000 0.5000  6 O 2.00-2.01
Fe 0.0000 0.0000 0.5000  6 O 1.94-2.07
Fe 0.5000 0.5000 0.0000  6 O 2.00-2.02
Mo 0.0000 0.0000 0.0000  6 O 1.93
O 0.0000 0.0000 0.7584  1 Mo 1.93, 1 Fe 2.07
O 0.5000 0.5000 0.2501  2 Fe 2.00
O 0.7544 0.7544 0.5000  2 Fe 1.94-2.01
O 0.2444 0.2444 0.0000  1 Mo 1.93, 1 Fe 2.02
O 0.7544 0.2456 0.5000  2 Fe 1.94-2.01
O 0.2444 0.7556 0.0000  1 Mo 1.93, 1 Fe 2.02
O 0.0000 0.0000 0.2416  1 Mo 1.93, 1 Fe 2.07
O 0.5000 0.5000 0.7499  2 Fe 2.00
O 0.2456 0.2456 0.5000  2 Fe 1.94-2.01
O 0.7556 0.7556 0.0000  1 Mo 1.93, 1 Fe 2.02
O 0.2456 0.7544 0.5000  2 Fe 1.94-2.01
O 0.7556 0.2444 0.0000  1 Mo 1.93, 1 Fe 2.02

Results
The total DFT energy (no corrections) is -6.638 eV/atom.